CuTcSnO6: optimized geometry, PBE-GGA.

abc: 5.2383 5.2383 8.8697
angles: 90.00 90.00 120.00
Each line ends with the local moment (μB).
Sites, in units of the cell vectors:
O1 0.6578 0.0227 0.8717  0.01
O2 0.6351 0.9773 0.3717  0.01
O3 0.3422 0.9773 0.1283  0.01
Sn1 0.3333 0.6667 0.7500  -0.01
O4 0.3422 0.3649 0.3717  0.01
Sn2 0.6667 0.3333 0.2500  -0.01
Tc1 0.3333 0.6667 0.2500  -0.25
O5 0.0227 0.3649 0.1283  0.01
O6 0.3649 0.3422 0.8717  0.01
Tc2 0.6667 0.3333 0.7500  -0.25
O7 0.3649 0.0227 0.6283  0.01
O8 0.9773 0.3422 0.6283  0.01
Cu1 0.0000 0.0000 0.0000  0.27
O9 0.6578 0.6351 0.6283  0.01
O10 0.9773 0.6351 0.8717  0.01
Cu2 0.0000 0.0000 0.5000  0.27
O11 0.6351 0.6578 0.1283  0.01
O12 0.0227 0.6578 0.3717  0.01

## Properties
Its space group is P-31c (163). Its total DFT energy (no corrections) is -0.23580 Ha/atom. As for the crystal system: trigonal.

=====

Dy2Ga3Ni5: optimized geometry, PBE-GGA.

abc: 5.5565 8.0924 8.0924
angles: 75.50 69.94 69.94
Sites, in units of the cell vectors:
Ni1 0.1097 0.0514 0.7285
Dy1 0.6299 0.1364 0.6039
Ni2 0.5350 0.2151 0.2150
Ni3 0.6097 0.7285 0.0514
Ga1 0.7500 0.0000 0.0000
Ni4 0.0350 0.2150 0.2151
Ni5 0.9650 0.7850 0.7849
Ga2 0.8581 0.7447 0.5382
Ga3 0.6419 0.4618 0.2553
Ga4 0.1419 0.2553 0.4618
Dy2 0.1299 0.6039 0.1364
Dy3 0.8701 0.3961 0.8636
Ni6 0.4650 0.7849 0.7850
Ni7 0.8903 0.9486 0.2715
Ni8 0.7500 0.4997 0.5003
Ga5 0.2500 0.0000 0.0000
Ni9 0.3903 0.2715 0.9486
Ga6 0.3581 0.5382 0.7447
Dy4 0.3701 0.8636 0.3961
Ni10 0.2500 0.5003 0.4997

## Properties
As for the formation energy: -492 meV/atom. Its space group is Ibam (72). As for the crystal system: orthorhombic. The energy above the most stable polymorph in this dataset comes out at 0.0128 eV/atom.

=====

LaReAs3: optimized geometry, PBE-GGA.

abc: 4.8963 4.8963 4.8963
angles: 90.00 90.00 90.00
Sites, in units of the cell vectors:
As1 0.0000 0.5000 0.0000
As2 0.5000 0.0000 0.0000
Re1 0.0000 0.0000 0.0000
La1 0.5000 0.5000 0.5000
As3 0.0000 0.0000 0.5000

## Properties
As for the formation energy: -101 meV/atom. Its space group is Pm-3m (221). As for the crystal system: cubic. The energy above the most stable polymorph in this dataset comes out at 0.0000 eV/atom.

=====

ZrZn2: optimized geometry, PBE-GGA.

abc: 6.4228 6.4228 6.4228
angles: 90.00 90.00 90.00
Sites, in units of the cell vectors:
Zn1 0.8915 0.3915 0.1085
Zr1 0.5000 0.0000 0.5000
Zr2 0.0000 0.5000 0.5000
Zn2 0.1085 0.6085 0.8915
Zn3 0.1085 0.8915 0.3915
Zr3 0.5000 0.5000 0.0000
Zn4 0.3915 0.3915 0.3915
Zn5 0.6085 0.6085 0.6085
Zr4 0.0000 0.0000 0.0000
Zn6 0.6085 0.8915 0.1085
Zn7 0.8915 0.1085 0.6085
Zn8 0.3915 0.1085 0.8915

## Properties
As for the formation energy: 583 meV/atom. Its space group is Pa-3 (205). As for the crystal system: cubic.

=====

CePu2Os2: optimized geometry, PBE-GGA.

abc: 3.9035 6.5686 8.8570
angles: 114.35 90.00 90.00
Each line ends with the local moment (μB).
Sites, in units of the cell vectors:
Os1 0.2500 0.6743 0.5750  -0.39
Os2 0.7500 0.3257 0.4250  -0.39
Ce1 0.7500 0.0726 0.8392  0.40
Pu1 0.7500 0.6029 0.7682  4.66
Os3 0.7500 0.5997 0.1237  -0.27
Pu2 0.7500 0.8828 0.4591  0.39
Os4 0.2500 0.4003 0.8763  -0.27
Pu3 0.2500 0.3971 0.2318  4.66
Ce2 0.2500 0.9274 0.1608  0.40
Pu4 0.2500 0.1172 0.5409  0.39

## Properties
As for the formation energy: 77 meV/atom. Its space group is P2_1/m (11). As for the crystal system: monoclinic.